PBE Mg2Te, relaxed; electronic total energy = -20.7 eV per cell; raw formation energy = -192 meV per atom; calculated volume = 332 Å³ per cell; DOS at the Fermi energy = 4.069 states/eV/cell
1.0
2.198 -3.806 0.000
2.198 3.806 0.000
0.000 0.000 19.841
Mg Te
6 3
Direct
0.000 0.000 0.923
0.000 0.000 0.077
0.333 0.667 0.724
0.667 0.333 0.276
0.333 0.667 0.581
0.667 0.333 0.419
0.000 0.000 0.500
0.333 0.667 0.862
0.667 0.333 0.138